A relaxed structure of BP2PtO, computed with PBE-GGA.

* total DFT energy (no corrections): -28.3 eV per cell
* distance to the lowest polymorph of the same formula: 0 meV/atom
* N(E_F): 2.13 states/eV per cell

abc: 4.700 4.700 2.777
angles: 90.00 90.00 90.00
Space group P4/mmm (No. 123)
One atom of each set of equivalent atoms:
B 0.000 0.000 0.000 x1
P 0.000 0.500 0.000 x2
Pt 0.500 0.500 0.500 x1
O 0.000 0.000 0.500 x1